No. 1
The following is a PBE-GGA calculation of ErNbRe4 after structural relaxation, from Alexandria via LeMat-Bulk.

It has space group F-43m (No. 216), with a = 7.495 Å, b = 7.495 Å, c = 7.495 Å, α = 90.00°, β = 90.00° and γ = 90.00°. The distinct sites, in fractional coordinates, are Er at (0.000, 0.000, 0.000), Nb at (0.250, 0.250, 0.750) and Re at (0.125, 0.125, 0.375).

For the calculated formation energy, the calculation gives -108 meV/atom. The total moment is 0.00 μB per formula unit. For the volume, the calculation gives 105.3 Å³/f.u.


No. 2
The following is a PBE-GGA calculation of ErNbRe after structural relaxation, from Alexandria via LeMat-Bulk.

It has space group Fmmm (No. 69), with a = 5.779 Å, b = 8.716 Å, c = 10.003 Å, α = 90.00°, β = 90.00° and γ = 90.00°. The distinct sites, in fractional coordinates, are Er at (0.000, 0.177, 0.000), Nb at (0.000, 0.000, 0.323) and Re at (0.250, 0.250, 0.250).

For the calculated formation energy, the calculation gives 75 meV/atom. The total moment is 0.00 μB per formula unit. For the volume, the calculation gives 63.0 Å³/f.u.


No. 3
The following is a PBE-GGA calculation of ErNbRh2 after structural relaxation, from Alexandria via LeMat-Bulk.

It has space group P4/mmm (No. 123), with a = 3.178 Å, b = 3.178 Å, c = 7.133 Å, α = 90.00°, β = 90.00° and γ = 90.00°. The distinct sites, in fractional coordinates, are Er at (0.000, 0.000, 0.000), Nb at (0.000, 0.000, 0.500) and Rh at (0.500, 0.500, 0.279).

For the calculated formation energy, the calculation gives -564 meV/atom. The total moment is 0.00 μB per formula unit. The value obtained for the energy above the most stable polymorph in this dataset is 0.0 meV/atom. For the volume, the calculation gives 72.0 Å³/f.u.


No. 4
The following is a PBE-GGA calculation of ErNbRh2 after structural relaxation, from Alexandria via LeMat-Bulk.

It has space group R-3m (No. 166, hexagonal axes), with a = 3.3563 Å, b = 3.3563 Å, c = 23.5028 Å, α = 90.00°, β = 90.00° and γ = 120.00°. The distinct sites, in fractional coordinates, are Er at (0.0000, 0.0000, 0.0000), Nb at (0.0000, 0.0000, 0.5000) and Rh at (0.0000, 0.0000, 0.2419).

For the calculated formation energy, the calculation gives -276 meV/atom. The total moment is 0.00 μB per formula unit. The value obtained for the energy above the most stable polymorph in this dataset is 287.7 meV/atom. For the volume, the calculation gives 76.4 Å³/f.u.


No. 5
The following is a PBE-GGA calculation of ErNbRuRh after structural relaxation, from Alexandria via LeMat-Bulk.

It has space group F-43m (No. 216), with a = 6.553 Å, b = 6.553 Å, c = 6.553 Å, α = 90.00°, β = 90.00° and γ = 90.00°. The distinct sites, in fractional coordinates, are Er at (0.000, 0.000, 0.000), Nb at (0.000, 0.000, 0.500), Ru at (0.250, 0.250, 0.250) and Rh at (0.250, 0.250, 0.750).

For the calculated formation energy, the calculation gives -421 meV/atom. The total moment is 0.00 μB per formula unit. For the volume, the calculation gives 70.3 Å³/f.u.


No. 6
The following is a PBE-GGA calculation of Er2NbZn2Rh5 after structural relaxation, from Alexandria via LeMat-Bulk.

It has space group P4/mbm (No. 127), with a = 9.765 Å, b = 9.765 Å, c = 3.546 Å, α = 90.00°, β = 90.00° and γ = 90.00°. The distinct sites, in fractional coordinates, are Er at (0.171, 0.329, 0.000), Nb at (0.000, 0.000, 0.000), Zn at (0.126, 0.626, 0.000), Rh at (0.000, 0.500, 0.500) and Rh at (0.067, 0.801, 0.500).

For the calculated formation energy, the calculation gives -638 meV/atom. The total moment is 0.00 μB per formula unit. For the volume, the calculation gives 169.1 Å³/f.u.